Record 1
{"formula": "MgBPd", "functional": "PBE", "state": "relaxed", "space_group": "No. 216", "lattice_angstrom": [[0.000, 2.734, 2.734], [2.734, 0.000, 2.734], [2.734, 2.734, 0.000]], "species": ["Mg", "Pd", "B"], "frac_coords": [[0.250, 0.250, 0.250], [0.750, 0.750, 0.750], [0.000, 0.000, 0.000]]}



Record 2
{"formula": "YMgBPd", "functional": "PBE", "state": "relaxed", "polymorph_energy_mev_per_atom": 0, "space_group": "No. 216", "lattice_angstrom": [[0.000, 3.249, 3.249], [3.249, 0.000, 3.249], [3.249, 3.249, 0.000]], "species": ["Y", "B", "Mg", "Pd"], "frac_coords": [[0.250, 0.250, 0.250], [0.000, 0.000, 0.000], [0.750, 0.750, 0.750], [0.500, 0.500, 0.500]]}



Record 3
{"formula": "YMgBPd", "functional": "PBE", "state": "relaxed", "polymorph_energy_mev_per_atom": 302, "space_group": "No. 216", "lattice_angstrom": [[0.000, 3.192, 3.192], [3.192, 0.000, 3.192], [3.192, 3.192, 0.000]], "species": ["Pd", "B", "Mg", "Y"], "frac_coords": [[0.250, 0.250, 0.250], [0.500, 0.500, 0.500], [0.750, 0.750, 0.750], [0.000, 0.000, 0.000]]}



Record 4
{"formula": "PmMgB", "functional": "PBE", "state": "relaxed", "polymorph_energy_mev_per_atom": 977, "space_group": "No. 216", "lattice_angstrom": [[0.000, 3.242, 3.242], [3.242, 0.000, 3.242], [3.242, 3.242, 0.000]], "species": ["Mg", "Pm", "B"], "frac_coords": [[0.750, 0.750, 0.750], [0.000, 0.000, 0.000], [0.250, 0.250, 0.250]]}



Record 5
{"formula": "PmMgB", "functional": "PBE", "state": "relaxed", "polymorph_energy_mev_per_atom": 782, "space_group": "No. 216", "lattice_angstrom": [[0.188, -4.399, 0.323], [-0.882, -1.970, 3.852], [-3.714, -2.338, 0.484]], "species": ["Mg", "B", "Pm"], "frac_coords": [[0.000, 0.000, 0.000], [0.250, 0.250, 0.250], [0.750, 0.750, 0.750]]}



Record 6
{"formula": "PrMgB4", "functional": "PBE", "state": "relaxed", "polymorph_energy_mev_per_atom": 0, "space_group": "No. 191", "lattice_angstrom": [[3.191, 0.000, 0.000], [-1.595, 2.763, 0.000], [0.000, 0.000, 7.762]], "species": ["B", "B", "B", "B", "Mg", "Pr"], "frac_coords": [[0.333, 0.667, 0.221], [0.667, 0.333, 0.221], [0.667, 0.333, 0.779], [0.333, 0.667, 0.779], [0.000, 0.000, 0.000], [0.000, 0.000, 0.500]]}



Computed total DFT energy (no corrections) (hartree per atom) in order:
-0.1625; -0.1864; -0.1753; -0.1227; -0.1299; -0.2077